[1]
Mg2Be3Au9 after structural relaxation, computed with PBE.

```
Mg2Be3Au9
1.0
6.9295 -0.0086 -2.9210
-4.0592 6.3303 -0.0135
0.2327 0.1656 10.2649
Au Be Mg
18 6 4
direct
0.0811 0.8311 0.2500
0.7873 0.3162 0.9301
0.2089 0.5180 0.5737
0.2127 0.6838 0.0699
0.6701 0.6658 0.7511
0.3299 0.3342 0.2489
0.7911 0.4820 0.4263
0.5852 0.0809 0.2511
0.8861 0.8572 0.5699
0.1300 0.9788 0.9296
0.4148 0.9191 0.7489
0.4443 0.6352 0.9263
0.1139 0.1428 0.4301
0.9189 0.1689 0.7500
0.5557 0.3648 0.0737
0.8700 0.0212 0.0704
0.4509 0.7996 0.4296
0.5491 0.2004 0.5704
0.1744 0.3474 0.9999
0.8475 0.1744 0.5001
0.1525 0.8256 0.4999
0.8256 0.6526 0.0001
0.5000 0.5000 0.5000
0.5000 0.0000 0.0000
0.6653 0.7496 0.2490
0.0006 0.4163 0.2510
0.3347 0.2504 0.7510
0.9994 0.5837 0.7490
```

Formation enthalpy at 0 K ... -0.272 eV/atom

[2]
Tb4ErSe6 after structural relaxation, computed with PBE.

```
Tb4ErSe6
1.0
3.9839 0.0000 0.0000
-1.9920 6.7239 0.0000
0.0000 0.0000 20.8087
Se Tb Er
12 8 2
direct
0.7696 0.5392 0.4091
0.3061 0.6123 0.2500
0.7696 0.5392 0.0909
0.0547 0.1094 0.3323
0.9453 0.8906 0.6677
0.2304 0.4608 0.9091
0.6939 0.3877 0.7500
0.2304 0.4608 0.5909
0.0547 0.1094 0.1677
0.5000 0.0000 0.5000
0.5000 0.0000 0.0000
0.9453 0.8906 0.8323
0.1408 0.2817 0.0385
0.8592 0.7183 0.5385
0.4111 0.8222 0.1275
0.1408 0.2817 0.4615
0.5889 0.1778 0.8725
0.5889 0.1778 0.6275
0.8592 0.7183 0.9615
0.4111 0.8222 0.3725
0.3475 0.6950 0.7500
0.6525 0.3050 0.2500
```

Uncorrected formation energy ... -1818 meV per atom

[3]
Rb4InPb3Br12 after structural relaxation, computed with PBE.

```
Rb4InPb3Br12
1.0
-5.4032 8.6535 -0.7613
-4.7948 -7.4724 -5.0824
0.8943 -2.6063 9.8521
Rb Pb Br In
4 3 12 1
direct
0.5000 0.0000 0.0000
0.0000 0.0000 0.5000
0.5000 0.5000 0.5000
0.0000 0.5000 0.0000
0.5000 0.0000 0.5000
0.5000 0.5000 0.0000
0.0000 0.5000 0.5000
0.7554 0.7554 0.0000
0.7500 0.5000 0.2500
0.0000 0.7554 0.7554
0.7500 0.2500 0.5000
0.5000 0.7500 0.2500
0.5000 0.2500 0.7500
0.0000 0.2446 0.2446
0.2446 0.2446 0.0000
0.7554 0.0000 0.7554
0.2500 0.5000 0.7500
0.2446 0.0000 0.2446
0.2500 0.7500 0.5000
0.0000 0.0000 0.0000
```

Uncorrected formation energy ... -1198 meV per atom

[4]
Mg2CuBr after structural relaxation, computed with PBE.

```
Mg2CuBr
1.0
7.2316 0.0000 0.0000
0.0000 7.2316 0.0000
3.6158 3.6158 3.5266
Cu Mg Br
2 4 2
direct
0.5000 0.5000 0.0000
0.2500 0.7500 0.5000
0.1470 0.6250 0.2500
0.3750 0.3970 0.7500
0.8750 0.8530 0.7500
0.6030 0.1250 0.2500
0.7500 0.2500 0.5000
0.0000 0.0000 0.0000
```

Uncorrected formation energy ... -123 meV per atom
Energy relative to the lowest polymorph listed for this composition ... 220 meV per atom

[5]
SrLaBiPd after structural relaxation, computed with PBE.

```
SrLaBiPd
1.0
-3.8913 -2.3582 -3.1399
-4.3110 -2.5220 2.3700
-5.0377 2.2545 -0.3167
Bi La Sr Pd
1 1 1 1
direct
0.5000 0.5000 0.5000
0.2500 0.2500 0.2500
0.7500 0.7500 0.7500
0.0000 0.0000 0.0000
```

Formation enthalpy at 0 K ... -0.721 eV/atom

[6]
RbMnSe2N after structural relaxation, computed with PBE.

```
RbMnSe2N
1.0
5.9617 0.0000 0.0000
0.0000 5.9617 0.0000
0.0000 0.0000 5.0084
N Mn Se Rb
1 1 2 1
direct
0.0000 0.0000 0.5000
0.5000 0.5000 0.5000
0.5000 0.0000 0.0000
0.0000 0.5000 0.0000
0.0000 0.0000 0.0000
```

Uncorrected formation energy ... 1763 meV per atom
Energy relative to the lowest polymorph listed for this composition ... 1833 meV per atom

Quick rundown of calculated volume, same order as above: 456.20, 557.41, 824.20, 184.43, 119.47, 178.01 Å³/cell
Quick rundown of total DFT energy (no corrections), same order as above: -3.406, -5.817, -3.088, -2.363, -4.641, -3.323 eV/atom